[1]
Entry from Alexandria via LeMat-Bulk: a PBEsol-optimized structure of SiIr2Br (meta-GGA SCAN).

Summary:
DOS at the Fermi energy = 2.895 states/eV/f.u.
ΔE_f (raw) = 0.6719 eV per atom
Total moment = 0.00 Bohr magnetons per cell

Cell: 2.759 2.849 9.719 Å, 90.00 90.00 118.95°
Element x y z (fractional)
Ir 0.500 0.000 0.248
Ir 0.000 0.000 0.013
Si 0.000 0.000 0.455
Br 0.500 0.000 0.784



[2]
Entry from Alexandria via LeMat-Bulk: a PBEsol-optimized structure of KTlTeH2 (meta-GGA SCAN).

Summary:
Energy = -123.0 eV per cell
DOS at the Fermi energy = 1.983 states/eV/f.u.
Total moment = 0.76 Bohr magnetons per cell

Cell: 4.321 4.321 7.210 Å, 90.00 90.00 90.00°
Element x y z (fractional)
Te 0.500 0.500 0.500
H 0.500 0.000 0.000
H 0.000 0.500 0.000
Tl 0.000 0.000 0.000
K 0.000 0.000 0.500